1.
# MnZnTcRh | the Alexandria database | PBE | optimized geometry
# Size of the total moment: 2.101 μB/f.u.
# Formation enthalpy at 0 K: -65 meV per atom
data_MnZnTcRh
_cell_length_a 6.037
_cell_length_b 6.037
_cell_length_c 6.037
_cell_angle_alpha 90.00
_cell_angle_beta 90.00
_cell_angle_gamma 90.00
_symmetry_space_group_name_H-M 'F -4 3 m'
_symmetry_Int_Tables_number 216
_symmetry_space_group_name_Hall 'F -4 2 3'
loop_
_atom_site_label
_atom_site_fract_x
_atom_site_fract_y
_atom_site_fract_z
Mn1 0.000 0.000 0.000
Zn1 0.000 0.000 0.500
Tc1 0.250 0.250 0.250
Rh1 0.250 0.250 0.750

2.
# MnTe4Rh | the Alexandria database | PBE | optimized geometry
# Size of the total moment: 4.624 μB/f.u.
# Formation energy (no corrections): 1020 meV/atom
data_MnTe4Rh
_cell_length_a 8.734
_cell_length_b 8.734
_cell_length_c 8.734
_cell_angle_alpha 90.00
_cell_angle_beta 90.00
_cell_angle_gamma 90.00
_symmetry_space_group_name_H-M 'F -4 3 m'
_symmetry_Int_Tables_number 216
_symmetry_space_group_name_Hall 'F -4 2 3'
loop_
_atom_site_label
_atom_site_fract_x
_atom_site_fract_y
_atom_site_fract_z
Mn1 0.000 0.000 0.000
Te1 0.124 0.124 0.376
Rh1 0.250 0.250 0.750

3.
# Mn2TeRh | the Alexandria database | PBE | optimized geometry
# Size of the total moment: 7.036 μB/f.u.
# Formation energy (no corrections): 130 meV/atom
data_Mn2TeRh
_cell_length_a 5.405
_cell_length_b 7.153
_cell_length_c 3.363
_cell_angle_alpha 90.00
_cell_angle_beta 90.00
_cell_angle_gamma 90.00
_symmetry_space_group_name_H-M 'C m m m'
_symmetry_Int_Tables_number 65
_symmetry_space_group_name_Hall '-C 2 2'
loop_
_atom_site_label
_atom_site_fract_x
_atom_site_fract_y
_atom_site_fract_z
Mn1 0.250 0.250 0.000
Te1 0.000 0.000 0.500
Rh1 0.000 0.500 0.500

4.
# Mn2TeRh | the Alexandria database | PBE | optimized geometry
# Size of the total moment: 6.837 μB/f.u.
# Formation energy (no corrections): 143 meV/atom
data_Mn2TeRh
_cell_length_a 3.450
_cell_length_b 3.450
_cell_length_c 5.522
_cell_angle_alpha 90.00
_cell_angle_beta 90.00
_cell_angle_gamma 90.00
_symmetry_space_group_name_H-M 'P 4 m m'
_symmetry_Int_Tables_number 99
_symmetry_space_group_name_Hall 'P 4 -2'
loop_
_atom_site_label
_atom_site_fract_x
_atom_site_fract_y
_atom_site_fract_z
Mn1 0.000 0.000 0.000
Mn2 0.500 0.500 0.245
Te1 0.500 0.500 0.748
Rh1 0.000 0.000 0.471

5.
# Mn2TeRh | the Alexandria database | PBE | optimized geometry
# Size of the total moment: 7.169 μB/f.u.
# Formation energy (no corrections): 99 meV/atom
data_Mn2TeRh
_cell_length_a 3.877
_cell_length_b 3.877
_cell_length_c 8.486
_cell_angle_alpha 90.00
_cell_angle_beta 90.00
_cell_angle_gamma 90.00
_symmetry_space_group_name_H-M 'I -4 m 2'
_symmetry_Int_Tables_number 119
_symmetry_space_group_name_Hall 'I -4 -2'
loop_
_atom_site_label
_atom_site_fract_x
_atom_site_fract_y
_atom_site_fract_z
Mn1 0.000 0.000 0.000
Mn2 0.000 0.500 0.250
Te1 0.000 0.500 0.750
Rh1 0.000 0.000 0.500

6.
# MnTeRh | the Alexandria database | PBE | optimized geometry
# Size of the total moment: 3.903 μB/f.u.
# Formation energy (no corrections): 0 meV/atom
data_MnTeRh
_cell_length_a 3.586
_cell_length_b 3.586
_cell_length_c 8.145
_cell_angle_alpha 90.00
_cell_angle_beta 90.00
_cell_angle_gamma 90.00
_symmetry_space_group_name_H-M 'I 4 m m'
_symmetry_Int_Tables_number 107
_symmetry_space_group_name_Hall 'I 4 -2'
loop_
_atom_site_label
_atom_site_fract_x
_atom_site_fract_y
_atom_site_fract_z
Mn1 0.000 0.000 0.000
Te1 0.000 0.000 0.324
Rh1 0.000 0.000 0.653

7.
# MnTeRh3 | the Alexandria database | PBE | optimized geometry
# Size of the total moment: 0.000 μB/f.u.
# Formation energy (no corrections): 791 meV/atom
data_MnTeRh3
_cell_length_a 4.501
_cell_length_b 4.501
_cell_length_c 4.501
_cell_angle_alpha 90.00
_cell_angle_beta 90.00
_cell_angle_gamma 90.00
_symmetry_space_group_name_H-M 'P m -3 m'
_symmetry_Int_Tables_number 221
_symmetry_space_group_name_Hall '-P 4 2 3'
loop_
_atom_site_label
_atom_site_fract_x
_atom_site_fract_y
_atom_site_fract_z
Mn1 0.000 0.000 0.000
Te1 0.500 0.500 0.500
Rh1 0.000 0.000 0.500

8.
# Mn2TeRh | the Alexandria database | PBE | optimized geometry
# Size of the total moment: 6.799 μB/f.u.
# Formation energy (no corrections): 104 meV/atom
data_Mn2TeRh
_cell_length_a 3.948
_cell_length_b 3.948
_cell_length_c 4.044
_cell_angle_alpha 90.00
_cell_angle_beta 90.00
_cell_angle_gamma 90.00
_symmetry_space_group_name_H-M 'P 4/m m m'
_symmetry_Int_Tables_number 123
_symmetry_space_group_name_Hall '-P 4 2'
loop_
_atom_site_label
_atom_site_fract_x
_atom_site_fract_y
_atom_site_fract_z
Mn1 0.000 0.500 0.000
Te1 0.000 0.000 0.500
Rh1 0.500 0.500 0.500